[1]
A relaxed Ta7Co5 crystal, computed with PBE.

Properties
Energy of formation   4.34 eV per formula unit
Distance to the lowest polymorph of the same formula   331 meV/atom

a = 5.1141 Å, b = 5.1141 Å, c = 16.7244 Å
α = 90.00°, β = 90.00°, γ = 120.00°
Closest atoms and distances in Å follow each position.
Positions (direct):
1 Co 0.5000 0.0000 0.0000  2 Ta 2.37, 4 Co 2.56
2 Co 0.0000 0.5000 0.0000  2 Ta 2.37, 4 Co 2.56
3 Co 0.5000 0.5000 0.0000  2 Ta 2.37, 4 Co 2.56
4 Co 0.6667 0.3333 0.1542  4 Co 2.97-3.20, 12 Ta 3.02-3.16
5 Co 0.6667 0.3333 0.3458  4 Co 2.97-3.20, 12 Ta 3.02-3.16
6 Co 0.5000 0.0000 0.5000  2 Ta 2.37, 4 Co 2.56
7 Co 0.0000 0.5000 0.5000  2 Ta 2.37, 4 Co 2.56
8 Co 0.5000 0.5000 0.5000  2 Ta 2.37, 4 Co 2.56
9 Co 0.3333 0.6667 0.6542  4 Co 2.97-3.20, 12 Ta 3.02-3.16
10 Co 0.3333 0.6667 0.8458  4 Co 2.97-3.20, 12 Ta 3.02-3.16
11 Ta 0.0000 0.0000 0.0862  7 Ta 2.88-3.10, 9 Co 2.94-3.16
12 Ta 0.3333 0.6667 0.1110  3 Co 2.37
13 Ta 0.1649 0.3298 0.2500  6 Ta 2.53-2.76
14 Ta 0.1649 0.8351 0.2500  6 Ta 2.53-2.76
15 Ta 0.6702 0.8351 0.2500  6 Ta 2.53-2.76
16 Ta 0.3333 0.6667 0.3890  3 Co 2.37
17 Ta 0.0000 0.0000 0.4138  7 Ta 2.88-3.10, 9 Co 2.94-3.16
18 Ta 0.0000 0.0000 0.5862  7 Ta 2.88-3.10, 9 Co 2.94-3.16
19 Ta 0.6667 0.3333 0.6110  3 Co 2.37
20 Ta 0.3298 0.1649 0.7500  6 Ta 2.53-2.76
21 Ta 0.8351 0.1649 0.7500  6 Ta 2.53-2.76
22 Ta 0.8351 0.6702 0.7500  6 Ta 2.53-2.76
23 Ta 0.6667 0.3333 0.8890  3 Co 2.37
24 Ta 0.0000 0.0000 0.9138  7 Ta 2.88-3.10, 9 Co 2.94-3.16

[2]
A relaxed Ta10Co3 crystal, computed with PBE.

Properties
Energy of formation   4.31 eV per formula unit
Distance to the lowest polymorph of the same formula   101 meV/atom

a = 9.2066 Å, b = 9.2066 Å, c = 9.2066 Å
α = 34.85°, β = 34.85°, γ = 34.85°
Closest atoms and distances in Å follow each position.
Positions (direct):
1 Co 0.0000 0.0000 0.0000  6 Ta 2.62
2 Co 0.1637 0.1637 0.1637  6 Ta 2.69-2.82
3 Co 0.8363 0.8363 0.8363  6 Ta 2.69-2.82
4 Ta 0.5860 0.0871 0.0871  3 Co 2.62-2.82, 6 Ta 2.75-2.91
5 Ta 0.0871 0.5860 0.0871  3 Co 2.62-2.82, 6 Ta 2.75-2.91
6 Ta 0.3498 0.3498 0.3498  1 Ta 2.58
7 Ta 0.9129 0.9129 0.4140  3 Co 2.62-2.82, 6 Ta 2.75-2.91
8 Ta 0.4494 0.4494 0.4494  2 Ta 2.58-2.62
9 Ta 0.5506 0.5506 0.5506  2 Ta 2.58-2.62
10 Ta 0.0871 0.0871 0.5860  3 Co 2.62-2.82, 6 Ta 2.75-2.91
11 Ta 0.6502 0.6502 0.6502  1 Ta 2.58
12 Ta 0.9129 0.4140 0.9129  3 Co 2.62-2.82, 6 Ta 2.75-2.91
13 Ta 0.4140 0.9129 0.9129  3 Co 2.62-2.82, 6 Ta 2.75-2.91

[3]
A relaxed Ta6Co7 crystal, computed with PBE.

Properties
Energy of formation   5.75 eV per formula unit
Distance to the lowest polymorph of the same formula   686 meV/atom

a = 8.4840 Å, b = 8.4840 Å, c = 8.4840 Å
α = 36.73°, β = 36.73°, γ = 36.73°
Closest atoms and distances in Å follow each position.
Positions (direct):
1 Co 0.0000 0.0000 0.0000  6 Ta 2.45
2 Co 0.1675 0.1675 0.1675  6 Ta 2.55-2.60
3 Co 0.3452 0.3452 0.3452  1 Co 2.56, 3 Ta 2.66
4 Co 0.4533 0.4533 0.4533  1 Co 2.21
5 Co 0.5467 0.5467 0.5467  1 Co 2.21
6 Co 0.6548 0.6548 0.6548  1 Co 2.56, 3 Ta 2.66
7 Co 0.8325 0.8325 0.8325  6 Ta 2.55-2.60
8 Ta 0.5849 0.0880 0.0880  4 Co 2.45-2.66, 4 Ta 2.66-2.69
9 Ta 0.0880 0.5849 0.0880  4 Co 2.45-2.66, 4 Ta 2.66-2.69
10 Ta 0.9120 0.9120 0.4151  4 Co 2.45-2.66, 4 Ta 2.66-2.69
11 Ta 0.0880 0.0880 0.5849  4 Co 2.45-2.66, 4 Ta 2.66-2.69
12 Ta 0.9120 0.4151 0.9120  4 Co 2.45-2.66, 4 Ta 2.66-2.69
13 Ta 0.4151 0.9120 0.9120  4 Co 2.45-2.66, 4 Ta 2.66-2.69

[4]
A relaxed TaCo3 crystal, computed with PBE.

Properties
Energy of formation   -0.93 eV per formula unit

a = 5.1428 Å, b = 5.1428 Å, c = 6.9078 Å
α = 68.15°, β = 111.85°, γ = 120.00°
Closest atoms and distances in Å follow each position.
Positions (direct):
1 Co 0.5000 0.0000 0.0000  8 Co 2.52-2.57, 4 Ta 2.57-2.61
2 Co 0.0000 0.5000 0.0000  8 Co 2.52-2.57, 4 Ta 2.57-2.61
3 Co 0.5000 0.5000 0.0000  8 Co 2.52-2.57, 4 Ta 2.57-2.61
4 Co 0.7586 0.7141 0.3303  8 Co 2.43-2.71, 4 Ta 2.56-2.59
5 Co 0.2859 0.2414 0.3303  8 Co 2.43-2.71, 4 Ta 2.56-2.59
6 Co 0.2859 0.7141 0.3303  8 Co 2.43-2.71, 4 Ta 2.56-2.59
7 Co 0.7141 0.2859 0.6697  8 Co 2.43-2.71, 4 Ta 2.56-2.59
8 Co 0.7141 0.7586 0.6697  8 Co 2.43-2.71, 4 Ta 2.56-2.59
9 Co 0.2414 0.2859 0.6697  8 Co 2.43-2.71, 4 Ta 2.56-2.59
10 Ta 0.0000 0.0000 0.0000  12 Co 2.57-2.59
11 Ta 0.7815 0.2185 0.3444  12 Co 2.56-2.61
12 Ta 0.2185 0.7815 0.6556  12 Co 2.56-2.61

> What is the energy of formation in the first record?

4.34 eV per formula unit